# 1
La5IrAu | GGA-PBE | optimized geometry

Results
* energy relative to the elements: -379 meV per atom
* calculated volume: 478 Å³ per cell
* space-group type: C2/c, No. 15

Geometry as CIF:
```
data_La5IrAu
_symmetry_space_group_name_H-M 'P 1'
_symmetry_Int_Tables_number 1
_cell_length_a 7.196
_cell_length_b 7.196
_cell_length_c 11.255
_cell_angle_alpha 109.99
_cell_angle_beta 109.99
_cell_angle_gamma 63.51
loop_
_symmetry_equiv_pos_as_xyz
'x,y,z'
loop_
_atom_site_label
_atom_site_fract_x
_atom_site_fract_y
_atom_site_fract_z
La1 0.055 0.945 0.750
La2 0.056 0.387 0.642
La3 0.238 0.556 0.993
La4 0.387 0.056 0.142
La5 0.444 0.762 0.507
La6 0.556 0.238 0.493
La7 0.613 0.944 0.858
La8 0.762 0.444 0.007
La9 0.944 0.613 0.358
La10 0.945 0.055 0.250
Ir1 0.000 0.000 0.000
Ir2 0.000 0.000 0.500
Au1 0.459 0.541 0.750
Au2 0.541 0.459 0.250
```

=====

# 2
LaIr2Au4 | GGA-PBE | optimized geometry

Results
* energy relative to the elements: 905 meV per atom
* calculated volume: 196 Å³ per cell
* space-group type: I4/mmm, No. 139

Geometry as CIF:
```
data_LaIr2Au4
_symmetry_space_group_name_H-M 'P 1'
_symmetry_Int_Tables_number 1
_cell_length_a 7.696
_cell_length_b 7.696
_cell_length_c 7.696
_cell_angle_alpha 138.78
_cell_angle_beta 138.78
_cell_angle_gamma 59.71
loop_
_symmetry_equiv_pos_as_xyz
'x,y,z'
loop_
_atom_site_label
_atom_site_fract_x
_atom_site_fract_y
_atom_site_fract_z
La1 0.000 0.000 0.000
Ir1 0.412 0.412 0.000
Ir2 0.588 0.588 0.000
Au1 0.000 0.500 0.500
Au2 0.217 0.217 0.000
Au3 0.500 0.000 0.500
Au4 0.783 0.783 0.000
```

=====

# 3
LaIrAu2 | GGA-PBE | optimized geometry

Results
* energy relative to the elements: -267 meV per atom
* distance to the lowest polymorph of the same formula: 0.64 eV per formula unit
* calculated volume: 177 Å³ per cell
* space-group type: I-42d, No. 122

Geometry as CIF:
```
data_LaIrAu2
_symmetry_space_group_name_H-M 'P 1'
_symmetry_Int_Tables_number 1
_cell_length_a 10.733
_cell_length_b 10.733
_cell_length_c 10.733
_cell_angle_alpha 157.76
_cell_angle_beta 157.76
_cell_angle_gamma 31.65
loop_
_symmetry_equiv_pos_as_xyz
'x,y,z'
loop_
_atom_site_label
_atom_site_fract_x
_atom_site_fract_y
_atom_site_fract_z
La1 0.000 0.000 0.000
La2 0.750 0.250 0.500
Ir1 0.250 0.750 0.500
Ir2 0.500 0.500 0.000
Au1 0.160 0.625 0.035
Au2 0.375 0.410 0.535
Au3 0.590 0.125 0.965
Au4 0.875 0.840 0.465
```

=====

# 4
La6Ir3Au | GGA-PBE | optimized geometry

Results
* energy relative to the elements: -715 meV per atom
* calculated volume: 603 Å³ per cell
* space-group type: P2_1/m, No. 11

Geometry as CIF:
```
data_La6Ir3Au
_symmetry_space_group_name_H-M 'P 1'
_symmetry_Int_Tables_number 1
_cell_length_a 12.197
_cell_length_b 4.262
_cell_length_c 12.338
_cell_angle_alpha 90.00
_cell_angle_beta 109.87
_cell_angle_gamma 90.00
loop_
_symmetry_equiv_pos_as_xyz
'x,y,z'
loop_
_atom_site_label
_atom_site_fract_x
_atom_site_fract_y
_atom_site_fract_z
La1 0.045 0.250 0.379
La2 0.098 0.750 0.951
La3 0.238 0.250 0.783
La4 0.260 0.750 0.271
La5 0.407 0.250 0.568
La6 0.446 0.250 0.106
La7 0.554 0.750 0.894
La8 0.593 0.750 0.432
La9 0.740 0.250 0.729
La10 0.762 0.750 0.217
La11 0.902 0.250 0.049
La12 0.955 0.750 0.621
Ir1 0.002 0.750 0.207
Ir2 0.332 0.750 0.948
Ir3 0.422 0.250 0.340
Ir4 0.578 0.750 0.660
Ir5 0.668 0.250 0.052
Ir6 0.998 0.250 0.793
Au1 0.198 0.750 0.564
Au2 0.802 0.250 0.436
```

=====

# 5
LaIr2Au | GGA-PBE | optimized geometry

Results
* energy relative to the elements: -73 meV per atom
* distance to the lowest polymorph of the same formula: 0.55 eV per formula unit
* calculated volume: 79 Å³ per cell
* space-group type: Imm2, No. 44

Geometry as CIF:
```
data_LaIr2Au
_symmetry_space_group_name_H-M 'P 1'
_symmetry_Int_Tables_number 1
_cell_length_a 5.351
_cell_length_b 5.351
_cell_length_c 5.351
_cell_angle_alpha 136.95
_cell_angle_beta 130.15
_cell_angle_gamma 67.94
loop_
_symmetry_equiv_pos_as_xyz
'x,y,z'
loop_
_atom_site_label
_atom_site_fract_x
_atom_site_fract_y
_atom_site_fract_z
La1 0.000 0.000 0.000
Ir1 0.516 0.516 0.000
Ir2 0.724 0.224 0.500
Au1 0.271 0.771 0.500
```

=====

# 6
LaIr3Au | GGA-PBE | optimized geometry

Results
* energy relative to the elements: 2034 meV per atom
* distance to the lowest polymorph of the same formula: 4.60 eV per formula unit
* calculated volume: 119 Å³ per cell
* space-group type: Pm-3m, No. 221

Geometry as CIF:
```
data_LaIr3Au
_symmetry_space_group_name_H-M 'P 1'
_symmetry_Int_Tables_number 1
_cell_length_a 4.922
_cell_length_b 4.922
_cell_length_c 4.922
_cell_angle_alpha 90.00
_cell_angle_beta 90.00
_cell_angle_gamma 90.00
loop_
_symmetry_equiv_pos_as_xyz
'x,y,z'
loop_
_atom_site_label
_atom_site_fract_x
_atom_site_fract_y
_atom_site_fract_z
La1 0.000 0.000 0.000
Ir1 0.000 0.000 0.500
Ir2 0.000 0.500 0.000
Ir3 0.500 0.000 0.000
Au1 0.500 0.500 0.500
```